{"formula": "Pm2HoIn4", "functional": "PBE", "state": "optimized geometry", "e_form_ev_per_fu": -2.28, "spacegroup": "No. 139", "total_energy_ev_per_atom": -3.90, "dos_at_fermi_per_ev_fu": 5.2, "lattice": [[-0.3551, 0.8644, -5.2020], [-0.9976, -5.1307, -0.7845], [-6.6104, 3.4407, 3.7079]], "species": ["In", "In", "In", "In", "Ho", "Pm", "Pm"], "fractional_positions": [[0.3895, 0.8895, 0.7789], [0.8895, 0.3895, 0.7789], [0.6105, 0.1105, 0.2211], [0.1105, 0.6105, 0.2211], [0.0000, 0.0000, 0.0000], [0.7489, 0.7489, 0.4977], [0.2511, 0.2511, 0.5023]]}